## Sm3BiAsS (PBE)

Data for a relaxed Sm3BiAsS crystal.

For the theoretical density, the calculation gives 7.0 g/cm³. Its formation energy (no corrections) is -1.2329 eV per atom. Its density of states at the Fermi level is 4.51 states/eV per cell. For the electronic total energy, the calculation gives -5.702 eV per atom.

It has space group P2_1/m (No. 11), with a = 8.628 Å, b = 4.447 Å, c = 9.753 Å, α = 90.00°, β = 102.85° and γ = 90.00°. The inequivalent atoms are Sm at (0.067, 0.250, 0.349), Sm at (0.280, 0.250, 0.993), Sm at (0.391, 0.750, 0.629), Bi at (0.314, 0.750, 0.278), As at (0.161, 0.250, 0.651) and S at (0.392, 0.750, 0.903).